# Ta2SnBiPt

An optimized crystal structure of Ta2SnBiPt (PBE, Alexandria via LeMat-Bulk).

Cell lengths 5.063, 5.063, 5.484 Å; angles 90.00, 90.00, 90.00 degrees
Space group P4/mmm (No. 123)
One atom of each set of equivalent atoms:
Ta1 0.000 0.500 0.000
Sn1 0.000 0.000 0.000
Bi1 0.000 0.000 0.500
Pt1 0.500 0.500 0.500

Summary:
As for the crystal system: tetragonal. The value obtained for the electronic total energy is -27.59 eV per cell.